(1)
4
Lattice="-2.458 1.404 -1.928 -3.415 -2.788 2.325 -0.435 3.788 3.904" Properties=species:S:1:pos:R:3 comment="LiHg2Pb (PBEsol, optimized geometry)" formation_energy_ev_per_atom=-0.14 pbc="T T T"
Pb -1.925 0.500 3.114
Hg -2.077 3.917 1.646
Hg -0.816 1.275 0.330
Li -2.937 -0.692 0.198

(2)
4
Lattice="-0.697 2.555 -2.483 0.535 -2.427 -2.646 -6.663 -1.654 0.169" Properties=species:S:1:pos:R:3 comment="LiHg2Pb (PBEsol, optimized geometry)" formation_energy_ev_per_atom=-0.17 pbc="T T T"
Pb -1.815 -0.367 -2.520
Hg -6.485 -1.610 0.165
Hg -4.906 -1.134 -2.442
Li -3.613 -0.897 0.092

(3)
4
Lattice="3.982 0.000 0.000 0.000 4.833 0.000 -1.991 -2.417 4.776" Properties=species:S:1:pos:R:3 comment="LiHg2Pb (PBEsol, optimized geometry)" formation_energy_ev_per_atom=-0.16 pbc="T T T"
Pb 1.991 0.000 2.426
Hg 1.991 2.417 4.713
Hg 0.000 2.417 2.290
Li 1.991 2.417 0.122

(4)
4
Lattice="4.435 0.000 0.000 0.000 4.566 0.000 0.000 0.000 4.435" Properties=species:S:1:pos:R:3 comment="LiHg2Pb (PBEsol, optimized geometry)" formation_energy_ev_per_atom=-0.17 pbc="T T T"
Pb 0.000 2.283 2.217
Hg 0.000 0.000 0.000
Hg 2.218 0.000 2.217
Li 2.218 2.283 0.000

(5)
4
Lattice="-1.206 -1.110 -2.972 4.654 -2.003 0.798 -3.312 -3.723 2.734" Properties=species:S:1:pos:R:3 comment="LiHg2Pb (PBEsol, optimized geometry)" formation_energy_ev_per_atom=-0.18 pbc="T T T"
Pb -1.656 -1.862 1.367
Hg -1.055 -4.822 0.291
Hg 1.191 -2.014 0.269
Li -0.603 -0.555 -1.486

(6)
4
Lattice="3.422 0.000 0.000 0.000 4.700 0.000 -1.711 -2.350 5.064" Properties=species:S:1:pos:R:3 comment="Li2HgPb (PBEsol, optimized geometry)" formation_energy_ev_per_atom=-0.29 pbc="T T T"
Pb 0.000 0.000 5.000
Hg 1.711 0.000 2.356
Li 0.000 0.000 0.163
Li 0.000 2.350 2.610